SnB PBE relaxed; formation energy = 1.54 eV/f.u.; energy above the lowest structure with this stoichiometry = 0.3830 eV per atom; DFT total energy = -18.3 eV per cell
1.0
3.692 0.000 0.000
-1.846 3.198 0.000
0.000 0.000 6.376
Sn B
2 2
direct
0.333 0.667 0.000
0.667 0.333 0.500
0.333 0.667 0.645
0.667 0.333 0.145



MnNbSi2Bi PBE relaxed; energy relative to the elements, uncorrected = 4.4 eV/f.u.; DFT total energy = -29.6 eV per cell
1.0
4.889 0.000 0.000
0.000 4.889 0.000
0.000 0.000 5.506
Mn Nb Si Bi
1 1 2 1
direct
0.000 0.000 0.000
0.500 0.500 0.500
0.000 0.500 0.500
0.500 0.000 0.500
0.500 0.500 0.000



What DOS at the Fermi energy values result from the calculations? In sequence: 1.0, 2.9 states/eV/f.u..